The following is a PBE with a Hubbard U calculation of Li4Ti2Mn3Ni3O16 after structural relaxation, from Alexandria via LeMat-Bulk.

Total magnetization, μB per atom: 0.536
DFT total energy, eV per atom: -6.501

abc: 5.8029 5.8552 9.4592
angles: 90.94 90.21 119.56
Last column: nearest neighbours and their distance in Å.
Atoms (fractional coordinates):
1 Li 0.0000 0.0000 0.0000  4 O 1.79-1.95
2 Li 0.0081 0.0120 0.5029  4 O 1.78-1.97
3 Li 0.3432 0.6833 0.6009  4 O 1.95-2.00
4 Li 0.6806 0.3498 0.0986  4 O 1.92-2.02
5 Ti 0.3353 0.6607 0.0007  5 O 1.89-2.05
6 Ti 0.6747 0.3332 0.5019  5 O 1.87-2.08
7 Mn 0.1762 0.8358 0.2810  6 O 1.89-2.02
8 Mn 0.6652 0.8338 0.2800  6 O 1.90-2.02
9 Mn 0.8307 0.6632 0.7795  6 O 1.90-2.03
10 Ni 0.1775 0.3474 0.2831  6 O 1.99-2.12
11 Ni 0.3436 0.1709 0.7817  6 O 1.97-2.06
12 Ni 0.8370 0.1785 0.7835  4 O 1.88-1.98
13 O 0.9997 0.9947 0.1887  1 Li 1.79, 2 Mn 1.91, 1 Ni 1.99
14 O 0.0486 0.5475 0.1523  1 Mn 1.89, 1 Li 1.92, 1 Ti 2.05, 1 Ni 2.09
15 O 0.1636 0.3331 0.9022  1 Ti 1.89, 1 Li 1.95, 2 Ni 1.98-2.06
16 O 0.1715 0.8387 0.8950  1 Li 1.94, 1 Ti 2.00, 1 Ni 2.02, 1 Mn 2.03
17 O 0.3405 0.1611 0.4066  1 Ti 1.90, 1 Li 1.92, 1 Mn 2.02, 1 Ni 2.12
18 O 0.3503 0.6919 0.3893  2 Mn 1.91, 1 Li 2.00, 1 Ni 2.00
19 O 0.4888 0.9735 0.1632  2 Mn 1.95, 1 Li 2.02
20 O 0.5018 0.5427 0.1523  1 Mn 1.90, 1 Li 1.94, 1 Ti 2.04, 1 Ni 2.08
21 O 0.5212 0.4884 0.6593  1 Mn 1.92, 1 Li 1.96, 1 Ni 2.01, 1 Ti 2.14
22 O 0.5372 0.0527 0.6579  2 Ni 1.92-1.97, 1 Li 1.95, 1 Ti 2.08
23 O 0.6631 0.8196 0.9024  1 Ti 1.91, 1 Li 1.93, 1 Mn 2.00
24 O 0.6894 0.3500 0.8869  2 Ni 1.88-2.00, 1 Mn 1.91, 1 Li 2.00
25 O 0.8264 0.1624 0.4030  1 Ti 1.87, 1 Li 1.93, 1 Mn 2.02
26 O 0.8413 0.6791 0.3939  1 Li 1.97, 2 Mn 1.99-2.01, 1 Ti 2.06
27 O 0.9693 0.5110 0.6499  1 Mn 1.90, 1 Li 1.95, 1 Ti 2.04
28 O 0.9850 0.9966 0.6909  1 Li 1.78, 2 Ni 1.88-1.99, 1 Mn 1.91